[1]
{
  "formula": "Sn3HgAs",
  "functional": "PBE",
  "state": "optimized geometry",
  "energy_ev_per_atom": -2.94,
  "spacegroup": "Pm-3m",
  "rho_g_cm3": 6.341,
  "lattice": [[5.489, 0.000, 0.000], [0.000, 5.489, 0.000], [0.000, 0.000, 5.489]],
  "species": ["Sn", "Sn", "Sn", "Hg", "As"],
  "frac_coords": [[0.000, 0.000, 0.500], [0.000, 0.500, 0.000], [0.500, 0.000, 0.000], [0.500, 0.500, 0.500], [0.000, 0.000, 0.000]]
}


[2]
{
  "formula": "SnHg3As",
  "functional": "PBE",
  "state": "optimized geometry",
  "energy_ev_per_atom": -1.34,
  "spacegroup": "Pm-3m",
  "rho_g_cm3": 7.518,
  "lattice": [[5.601, 0.000, 0.000], [0.000, 5.601, 0.000], [0.000, 0.000, 5.601]],
  "species": ["Sn", "Hg", "Hg", "Hg", "As"],
  "frac_coords": [[0.000, 0.000, 0.000], [0.000, 0.000, 0.500], [0.000, 0.500, 0.000], [0.500, 0.000, 0.000], [0.500, 0.500, 0.500]]
}


[3]
{
  "formula": "Sn2HgAs2",
  "functional": "PBE",
  "state": "optimized geometry",
  "energy_ev_per_atom": -3.46,
  "spacegroup": "I4/mmm",
  "rho_g_cm3": 7.175,
  "lattice": [[5.396, 0.000, 0.000], [0.000, 5.396, 0.000], [0.000, 0.000, 9.346]],
  "species": ["Sn", "Sn", "Sn", "Sn", "Hg", "Hg", "As", "As", "As", "As"],
  "frac_coords": [[0.000, 0.500, 0.250], [0.000, 0.500, 0.750], [0.500, 0.000, 0.250], [0.500, 0.000, 0.750], [0.000, 0.000, 0.000], [0.500, 0.500, 0.500], [0.000, 0.000, 0.365], [0.000, 0.000, 0.635], [0.500, 0.500, 0.135], [0.500, 0.500, 0.865]]
}


[4]
{
  "formula": "Sn3HgAs",
  "functional": "PBE",
  "state": "optimized geometry",
  "energy_ev_per_atom": -2.67,
  "spacegroup": "Pm-3m",
  "rho_g_cm3": 6.337,
  "lattice": [[5.490, 0.000, 0.000], [0.000, 5.490, 0.000], [0.000, 0.000, 5.490]],
  "species": ["Sn", "Sn", "Sn", "Hg", "As"],
  "frac_coords": [[0.000, 0.000, 0.500], [0.000, 0.500, 0.000], [0.500, 0.000, 0.000], [0.000, 0.000, 0.000], [0.500, 0.500, 0.500]]
}